Entry 1:
Material: ZrAsCl
Method: DFT, PBE
State: relaxed

Values from the calculation:
The total magnetization is 0.00 μB/f.u. Its distance to the lowest polymorph of the same formula is 165 meV per atom. The density of states at the Fermi level is 0.3211 states/eV/atom. As for the total energy: -5.90 eV/atom. The formation energy (no corrections) is -881 meV per atom.

```
ZrAsCl
1.0
7.602 0.052 0.000
6.299 4.257 0.000
-6.951 -2.155 2.201
As Zr Cl
1 1 1
Cartesian
0.543 0.168 0.000
9.364 2.903 0.000
3.994 1.238 0.000
```

Entry 2:
Material: RbFe2N2
Method: DFT, PBE
State: relaxed

Values from the calculation:
The total magnetization is 0.00 μB/f.u. The density of states at the Fermi level is 0.5720 states/eV/atom. As for the total energy: -7.05 eV/atom. The formation energy (no corrections) is -143 meV per atom.

```
RbFe2N2
1.0
3.184 0.000 -1.190
-0.444 3.152 -1.190
0.590 0.679 6.434
Rb Fe N
1 2 2
Cartesian
0.000 0.000 0.000
2.572 1.128 2.027
0.758 2.704 2.027
2.067 2.379 0.678
1.262 1.452 3.377
```

Entry 3:
Material: Sm5YHo3
Method: DFT, PBE
State: relaxed

Values from the calculation:
The formation enthalpy at 0 K is 496 meV/atom. The total magnetization is 0.00 μB/f.u. Its distance to the lowest polymorph of the same formula is 318 meV per atom. The density of states at the Fermi level is 1.5061 states/eV/atom. As for the total energy: -4.37 eV/atom.

```
Sm5YHo3
1.0
-9.554 0.462 0.089
-2.765 -3.393 -8.505
-7.522 -8.742 -2.020
Sm Y Ho
10 2 6
Cartesian
-10.999 -3.024 -3.371
-4.493 -2.411 -6.318
-17.294 -10.754 -8.836
-7.837 -3.497 -4.622
-12.003 -8.176 -5.814
-2.547 -0.919 -1.600
-7.571 -4.971 -7.711
-7.826 -0.519 -2.098
-8.842 -8.648 -7.065
-12.270 -6.702 -2.726
-6.374 -5.638 -2.506
-13.467 -6.035 -7.931
-14.632 -9.209 -7.427
-10.808 -5.033 -6.279
0.000 0.000 0.000
-3.761 -4.371 -1.010
-5.209 -2.463 -3.009
-9.033 -6.640 -4.157
```